1.
{
  "formula": "Fe3NiAu",
  "functional": "PBE",
  "state": "relaxed",
  "polymorph_energy_ev_per_atom": 0.000,
  "lattice_angstrom": [[4.321, 0.000, 0.000], [0.000, 4.321, 0.000], [0.000, 0.000, 4.321]],
  "species": ["Fe", "Fe", "Fe", "Ni", "Au"],
  "fractional_positions": [[0.000, 0.000, 0.500], [0.000, 0.500, 0.000], [0.500, 0.000, 0.000], [0.000, 0.000, 0.000], [0.500, 0.500, 0.500]]
}


2.
{
  "formula": "TlTeBrN2",
  "functional": "PBE",
  "state": "relaxed",
  "e_form_raw_mev_per_atom": 1917.1,
  "polymorph_energy_ev_per_atom": 0.224,
  "lattice_angstrom": [[4.483, 0.000, 0.000], [0.000, 4.483, 0.000], [0.000, 0.000, 5.770]],
  "species": ["Tl", "Te", "Br", "N", "N"],
  "fractional_positions": [[0.000, 0.000, 0.000], [0.500, 0.500, 0.000], [0.500, 0.500, 0.500], [0.000, 0.500, 0.500], [0.500, 0.000, 0.500]]
}


3.
{
  "formula": "PrY2Cd",
  "functional": "PBE",
  "state": "relaxed",
  "polymorph_energy_ev_per_atom": 0.065,
  "lattice_angstrom": [[4.931, 0.000, 0.000], [0.000, 4.931, 0.000], [0.000, 0.000, 4.916]],
  "species": ["Pr", "Y", "Y", "Cd"],
  "fractional_positions": [[0.000, 0.000, 0.000], [0.000, 0.500, 0.500], [0.500, 0.000, 0.500], [0.500, 0.500, 0.000]]
}


4.
{
  "formula": "Sr2LaCu2HgO6",
  "functional": "PBE",
  "state": "relaxed",
  "e_form_raw_mev_per_atom": -1817.5,
  "lattice_angstrom": [[3.933, 0.000, 0.000], [0.000, 3.933, 0.000], [0.000, 0.000, 12.479]],
  "species": ["Sr", "Sr", "La", "Cu", "Cu", "Hg", "O", "O", "O", "O", "O", "O"],
  "fractional_positions": [[0.000, 0.000, 0.226], [0.000, 0.000, 0.774], [0.000, 0.000, 0.500], [0.500, 0.500, 0.367], [0.500, 0.500, 0.633], [0.500, 0.500, 0.000], [0.000, 0.500, 0.369], [0.000, 0.500, 0.631], [0.500, 0.000, 0.369], [0.500, 0.000, 0.631], [0.500, 0.500, 0.164], [0.500, 0.500, 0.836]]
}


5.
{
  "formula": "Tb2CdCu",
  "functional": "PBE",
  "state": "relaxed",
  "polymorph_energy_ev_per_atom": 0.000,
  "lattice_angstrom": [[3.539, 0.000, 0.000], [0.000, 3.539, 0.000], [0.000, 0.000, 7.616]],
  "species": ["Tb", "Tb", "Cd", "Cu"],
  "fractional_positions": [[0.000, 0.000, 0.223], [0.000, 0.000, 0.777], [0.500, 0.500, 0.500], [0.500, 0.500, 0.000]]
}


6.
{
  "formula": "AcCdNi",
  "functional": "PBE",
  "state": "relaxed",
  "polymorph_energy_ev_per_atom": 0.000,
  "lattice_angstrom": [[2.050, -8.823, 0.000], [2.050, 8.823, 0.000], [0.000, 0.000, 4.178]],
  "species": ["Ac", "Ac", "Cd", "Cd", "Ni", "Ni"],
  "fractional_positions": [[0.095, 0.905, 0.750], [0.905, 0.095, 0.250], [0.294, 0.706, 0.750], [0.706, 0.294, 0.250], [0.459, 0.541, 0.750], [0.541, 0.459, 0.250]]
}